10
Lattice="-2.4549 3.5086 8.5141 2.4549 -3.5086 8.5141 2.4549 3.5086 -8.5141" Properties=species:S:1:pos:R:3 comment="GGA-PBE SrSn4, relaxed" space_group="Imma, No. 74" dos_at_fermi_per_ev_cell=4.13 ef_ev_per_atom=-0.31 crystal_system=orthorhombic pbc="T T T"
Sr 0.0000 1.7543 2.0732
Sr 2.4549 1.7543 6.4408
Sn 2.4549 0.0000 0.0000
Sn 2.4549 -0.2941 3.2995
Sn 2.4549 -1.7543 7.0407
Sn 2.4549 3.2145 -3.2995
Sn 0.0000 0.0000 8.5141
Sn 0.0000 0.2941 11.8135
Sn 0.0000 5.2628 1.4734
Sn 0.0000 3.8026 5.2146